# 1
Here is a relaxed structure of Dy5Hf3As8 from the Alexandria database. Energies are from PBE-GGA.

Summary:
ΔH_f (0 K) (eV/atom): -1.323
E_tot (eV/f.u.): -111.234
SG: R-3m
Mass density (g/cm³): 8.94

abc: 7.9820 7.9820 8.0124
angles: 60.13 60.13 60.00
Fractional coordinates of all 16 atoms:
Dy 0.0000 0.5000 0.0000
Dy 0.5000 0.5000 0.0000
Dy 0.5000 0.5000 0.5000
Dy 0.5000 0.0000 0.0000
Dy 0.0000 0.0000 0.0000
Hf 0.0000 0.0000 0.5000
Hf 0.5000 0.0000 0.5000
Hf 0.0000 0.5000 0.5000
As 0.2500 0.2500 0.7378
As 0.7500 0.7500 0.2622
As 0.7500 0.2378 0.2622
As 0.2378 0.7500 0.2622
As 0.2442 0.2442 0.2674
As 0.7622 0.2500 0.7378
As 0.2500 0.7622 0.7378
As 0.7558 0.7558 0.7326

# 2
Here is a relaxed structure of Mg3ScCd from the Alexandria database. Energies are from PBE-GGA.

Summary:
ΔH_f (0 K) (eV/atom): 0.394
E_tot (eV/f.u.): -10.059
SG: Pm-3m
Energy relative to the lowest polymorph listed for this composition (meV per atom): 433
Mass density (g/cm³): 2.83

abc: 5.1325 5.1325 5.1325
angles: 90.00 90.00 90.00
Fractional coordinates of all 5 atoms:
Mg 0.0000 0.5000 0.0000
Mg 0.5000 0.0000 0.0000
Mg 0.0000 0.0000 0.5000
Sc 0.5000 0.5000 0.5000
Cd 0.0000 0.0000 0.0000

# 3
Here is a relaxed structure of NaGa2S3 from the Alexandria database. Energies are from PBE-GGA.

Summary:
Energy relative to the elements, uncorrected (kJ per mole of atoms): -69.6
E_tot (eV/f.u.): -24.084
SG: C2/m
Mass density (g/cm³): 2.80

abc: 3.6079 8.4416 10.9267
angles: 110.37 99.50 90.00
Fractional coordinates of all 12 atoms:
S 0.9451 0.1047 0.8901
S 0.0549 0.8953 0.1099
S 0.6076 0.3393 0.2153
S 0.3924 0.6607 0.7847
S 0.2331 0.1819 0.4661
S 0.7669 0.8181 0.5339
Ga 0.9424 0.8319 0.8848
Ga 0.2771 0.6464 0.5543
Ga 0.0576 0.1681 0.1152
Ga 0.7229 0.3536 0.4457
Na 0.3465 0.0975 0.6931
Na 0.6535 0.9025 0.3069

# 4
Here is a relaxed structure of YScAsIr2 from the Alexandria database. Energies are from PBE-GGA.

Summary:
ΔH_f (0 K) (eV/atom): 0.872
E_tot (eV/f.u.): -30.805
SG: P4/mmm
Mass density (g/cm³): 8.29

abc: 4.6415 5.5148 4.6415
angles: 90.00 90.00 90.00
Fractional coordinates of all 5 atoms:
Y 0.0000 0.5000 0.0000
Ir 0.0000 0.0000 0.5000
Ir 0.5000 0.0000 0.0000
As 0.5000 0.5000 0.5000
Sc 0.0000 0.0000 0.0000

Please write out number 4 again, unchanged.
Here is a relaxed structure of YScAsIr2 from the Alexandria database. Energies are from PBE-GGA.

Summary:
ΔH_f (0 K) (eV/atom): 0.872
E_tot (eV/f.u.): -30.805
SG: P4/mmm
Mass density (g/cm³): 8.29

abc: 4.6415 5.5148 4.6415
angles: 90.00 90.00 90.00
Fractional coordinates of all 5 atoms:
Y 0.0000 0.5000 0.0000
Ir 0.0000 0.0000 0.5000
Ir 0.5000 0.0000 0.0000
As 0.5000 0.5000 0.5000
Sc 0.0000 0.0000 0.0000